# 1
Density functional theory data (PBE) for crystalline NiBiSb at its relaxed geometry.

a = 3.9639 Å, b = 3.9639 Å, c = 5.3343 Å
α = 90.00°, β = 90.00°, γ = 120.00°
Space group P3m1 (No. 156)
Symmetry-distinct sites (fractional):
Ni (0.0000, 0.0000, 0.0000)
Bi (0.3333, 0.6667, 0.7345)
Sb (0.6667, 0.3333, 0.2060)

Calculated values
The uncorrected formation energy is -0.067 eV per atom. For the energy above the most stable polymorph in this dataset, the calculation gives 0.0329 eV/atom. The density of states at the Fermi level comes out at 0.5252 states/eV per atom. As for the total energy: -0.1713 hartree per atom.

# 2
Density functional theory data (PBE) for crystalline NiBi3Sb at its relaxed geometry.

a = 5.2074 Å, b = 5.2074 Å, c = 5.2074 Å
α = 90.00°, β = 90.00°, γ = 90.00°
Space group Pm-3m (No. 221)
Symmetry-distinct sites (fractional):
Ni (0.0000, 0.0000, 0.0000)
Bi (0.0000, 0.0000, 0.5000)
Sb (0.5000, 0.5000, 0.5000)

Calculated values
The uncorrected formation energy is 0.299 eV per atom. For the energy above the most stable polymorph in this dataset, the calculation gives 0.0000 eV/atom. The density of states at the Fermi level comes out at 0.8726 states/eV per atom. As for the total energy: -0.1474 hartree per atom.

no.,magnetic moment (μB/f.u.)
1,0.0
2,0.0